1.
DFT (GGA-PBE) results for a relaxed structure of FeTcPt2.

Results
The calculation puts the energy above the most stable polymorph in this dataset at 0.119 eV/atom. The value obtained for the energy of formation from the pure elements is -0.051 eV/atom. As for the crystal system: monoclinic. Its space-group type is C2/m. The calculated volume is 57.9 Å³ per cell.

Cell lengths 4.744, 4.744, 4.732 Å; angles 99.55, 99.55, 33.53 degrees
Element x y z (fractional)
Fe (0.000, 0.000, 0.000)
Tc (0.500, 0.500, 0.500)
Pt (0.251, 0.251, 0.751)
Pt (0.749, 0.749, 0.249)

2.
DFT (GGA-PBE) results for a relaxed structure of FeTc3Pt.

Results
The calculation puts the energy above the most stable polymorph in this dataset at 0.000 eV/atom. The value obtained for the energy of formation from the pure elements is 1.153 eV/atom. As for the crystal system: cubic. Its space-group type is Pm-3m. The calculated volume is 82.2 Å³ per cell.

Cell lengths 4.349, 4.349, 4.349 Å; angles 90.00, 90.00, 90.00 degrees
Element x y z (fractional)
Fe (0.000, 0.000, 0.000)
Tc (0.000, 0.000, 0.500)
Tc (0.000, 0.500, 0.000)
Tc (0.500, 0.000, 0.000)
Pt (0.500, 0.500, 0.500)

3.
DFT (GGA-PBE) results for a relaxed structure of Fe2TcPt9.

Results
The value obtained for the energy of formation from the pure elements is -0.156 eV/atom. As for the crystal system: tetragonal. Its space-group type is P4/mmm. The calculated volume is 181.8 Å³ per cell.

Cell lengths 3.932, 3.932, 11.760 Å; angles 90.00, 90.00, 90.00 degrees
Element x y z (fractional)
Fe (0.000, 0.000, 0.165)
Fe (0.000, 0.000, 0.835)
Tc (0.000, 0.000, 0.500)
Pt (0.000, 0.500, 0.000)
Pt (0.000, 0.500, 0.331)
Pt (0.000, 0.500, 0.669)
Pt (0.500, 0.000, 0.000)
Pt (0.500, 0.000, 0.331)
Pt (0.500, 0.000, 0.669)
Pt (0.500, 0.500, 0.165)
Pt (0.500, 0.500, 0.500)
Pt (0.500, 0.500, 0.835)

4.
DFT (GGA-PBE) results for a relaxed structure of Fe4TcPt.

Results
The value obtained for the energy of formation from the pure elements is -0.022 eV/atom. As for the crystal system: cubic. Its space-group type is F-43m. The calculated volume is 74.3 Å³ per cell.

Cell lengths 4.719, 4.719, 4.719 Å; angles 60.00, 60.00, 60.00 degrees
Element x y z (fractional)
Fe (0.125, 0.125, 0.125)
Fe (0.125, 0.125, 0.625)
Fe (0.125, 0.625, 0.125)
Fe (0.625, 0.125, 0.125)
Tc (0.750, 0.750, 0.750)
Pt (0.500, 0.500, 0.500)

5.
DFT (GGA-PBE) results for a relaxed structure of FeTcPt2.

Results
The calculation puts the energy above the most stable polymorph in this dataset at 0.037 eV/atom. The value obtained for the energy of formation from the pure elements is -0.133 eV/atom. As for the crystal system: orthorhombic. Its space-group type is Cmmm. The calculated volume is 58.4 Å³ per cell.

Cell lengths 4.810, 4.810, 2.706 Å; angles 90.00, 90.00, 111.24 degrees
Element x y z (fractional)
Fe (0.000, 0.000, 0.000)
Tc (0.500, 0.500, 0.000)
Pt (0.000, 0.500, 0.500)
Pt (0.500, 0.000, 0.500)

6.
DFT (GGA-PBE) results for a relaxed structure of FeTcPt3.

Results
The calculation puts the energy above the most stable polymorph in this dataset at 0.000 eV/atom. The value obtained for the energy of formation from the pure elements is 1.174 eV/atom. As for the crystal system: cubic. Its space-group type is Pm-3m. The calculated volume is 95.8 Å³ per cell.

Cell lengths 4.575, 4.575, 4.575 Å; angles 90.00, 90.00, 90.00 degrees
Element x y z (fractional)
Fe (0.000, 0.000, 0.000)
Tc (0.500, 0.500, 0.500)
Pt (0.000, 0.000, 0.500)
Pt (0.000, 0.500, 0.000)
Pt (0.500, 0.000, 0.000)

7.
DFT (GGA-PBE) results for a relaxed structure of FeTcPt2.

Results
The calculation puts the energy above the most stable polymorph in this dataset at 0.093 eV/atom. The value obtained for the energy of formation from the pure elements is -0.077 eV/atom. As for the crystal system: trigonal. Its space-group type is R-3m. The calculated volume is 58.3 Å³ per cell.

Cell lengths 9.030, 9.030, 9.030 Å; angles 17.53, 17.53, 17.53 degrees
Element x y z (fractional)
Fe (0.000, 0.000, 0.000)
Tc (0.500, 0.500, 0.500)
Pt (0.252, 0.252, 0.252)
Pt (0.748, 0.748, 0.748)

8.
DFT (GGA-PBE) results for a relaxed structure of FeTcPt2.

Results
The calculation puts the energy above the most stable polymorph in this dataset at 0.043 eV/atom. The value obtained for the energy of formation from the pure elements is -0.127 eV/atom. As for the crystal system: tetragonal. Its space-group type is I4/mmm. The calculated volume is 57.6 Å³ per cell.

Cell lengths 4.790, 4.790, 4.790 Å; angles 133.05, 133.05, 68.57 degrees
Element x y z (fractional)
Fe (0.000, 0.000, 0.000)
Tc (0.500, 0.500, 0.000)
Pt (0.250, 0.750, 0.500)
Pt (0.750, 0.250, 0.500)

9.
DFT (GGA-PBE) results for a relaxed structure of FeTcPt2.

Results
The calculation puts the energy above the most stable polymorph in this dataset at 0.534 eV/atom. The value obtained for the energy of formation from the pure elements is 0.364 eV/atom. As for the crystal system: cubic. Its space-group type is Fm-3m. The calculated volume is 58.0 Å³ per cell.

Cell lengths 4.344, 4.344, 4.344 Å; angles 60.00, 60.00, 60.00 degrees
Element x y z (fractional)
Fe (0.000, 0.000, 0.000)
Tc (0.500, 0.500, 0.500)
Pt (0.250, 0.250, 0.250)
Pt (0.750, 0.750, 0.750)

10.
DFT (GGA-PBE) results for a relaxed structure of Fe3TcPt4.

Results
The value obtained for the energy of formation from the pure elements is -0.188 eV/atom. As for the crystal system: orthorhombic. Its space-group type is Pmma. The calculated volume is 228.4 Å³ per cell.

Cell lengths 8.882, 5.418, 4.746 Å; angles 90.00, 90.00, 90.00 degrees
Element x y z (fractional)
Fe (0.000, 0.000, 0.000)
Fe (0.250, 0.000, 0.329)
Fe (0.250, 0.500, 0.324)
Fe (0.500, 0.000, 0.000)
Fe (0.750, 0.000, 0.671)
Fe (0.750, 0.500, 0.676)
Tc (0.000, 0.500, 0.000)
Tc (0.500, 0.500, 0.000)
Pt (0.000, 0.250, 0.500)
Pt (0.000, 0.750, 0.500)
Pt (0.250, 0.249, 0.842)
Pt (0.250, 0.751, 0.842)
Pt (0.500, 0.250, 0.500)
Pt (0.500, 0.750, 0.500)
Pt (0.750, 0.249, 0.158)
Pt (0.750, 0.751, 0.158)

11.
DFT (GGA-PBE) results for a relaxed structure of FeTcPt2.

Results
The calculation puts the energy above the most stable polymorph in this dataset at 0.033 eV/atom. The value obtained for the energy of formation from the pure elements is -0.137 eV/atom. As for the crystal system: monoclinic. Its space-group type is Cm. The calculated volume is 58.1 Å³ per cell.

Cell lengths 4.723, 4.723, 4.810 Å; angles 99.20, 99.20, 33.31 degrees
Element x y z (fractional)
Fe (0.000, 0.000, 0.000)
Tc (0.744, 0.744, 0.265)
Pt (0.253, 0.253, 0.776)
Pt (0.494, 0.494, 0.488)

12.
DFT (GGA-PBE) results for a relaxed structure of FeTcPt2.

Results
The calculation puts the energy above the most stable polymorph in this dataset at 0.114 eV/atom. The value obtained for the energy of formation from the pure elements is -0.056 eV/atom. As for the crystal system: tetragonal. Its space-group type is P4/mmm. The calculated volume is 57.8 Å³ per cell.

Cell lengths 3.821, 3.821, 3.961 Å; angles 90.00, 90.00, 90.00 degrees
Element x y z (fractional)
Fe (0.000, 0.000, 0.000)
Tc (0.500, 0.500, 0.000)
Pt (0.000, 0.500, 0.500)
Pt (0.500, 0.000, 0.500)

13.
DFT (GGA-PBE) results for a relaxed structure of FeTcPt2.

Results
The calculation puts the energy above the most stable polymorph in this dataset at 0.007 eV/atom. The value obtained for the energy of formation from the pure elements is -0.163 eV/atom. As for the crystal system: orthorhombic. Its space-group type is Pmm2. The calculated volume is 58.1 Å³ per cell.

Cell lengths 2.709, 4.431, 4.841 Å; angles 90.00, 90.00, 90.00 degrees
Element x y z (fractional)
Fe (0.000, 0.000, 0.000)
Tc (0.000, 0.500, 0.321)
Pt (0.500, 0.000, 0.487)
Pt (0.500, 0.500, 0.831)

14.
DFT (GGA-PBE) results for a relaxed structure of FeTcPt2.

Results
The calculation puts the energy above the most stable polymorph in this dataset at 0.259 eV/atom. The value obtained for the energy of formation from the pure elements is 0.089 eV/atom. As for the crystal system: cubic. Its space-group type is F-43m. The calculated volume is 59.0 Å³ per cell.

Cell lengths 4.371, 4.371, 4.371 Å; angles 60.00, 60.00, 60.00 degrees
Element x y z (fractional)
Fe (0.000, 0.000, 0.000)
Tc (0.250, 0.250, 0.250)
Pt (0.500, 0.500, 0.500)
Pt (0.750, 0.750, 0.750)